VASP calculation (PBE-GGA) on SiNi12As3 after structural relaxation.

a b c (Å): 3.571 3.571 14.287
angles (deg): 90.00 90.00 90.00
Fractional coordinates of all 16 atoms:
Si 0.000 0.000 0.000
As 0.000 0.000 0.754
As 0.000 0.000 0.246
As 0.000 0.000 0.500
Ni 0.500 0.000 0.120
Ni 0.500 0.000 0.626
Ni 0.000 0.500 0.374
Ni 0.500 0.500 0.753
Ni 0.500 0.500 0.247
Ni 0.500 0.000 0.374
Ni 0.500 0.000 0.880
Ni 0.000 0.500 0.120
Ni 0.500 0.500 0.000
Ni 0.000 0.500 0.626
Ni 0.500 0.500 0.500
Ni 0.000 0.500 0.880

The value obtained for the total energy is -92.43 eV for the cell shown. The value obtained for the total moment is 0.0 μB/cell. Its uncorrected formation energy is -0.230 eV/atom. The space-group type is P4/mmm (123).

VASP calculation (PBE-GGA) on Si2NiAs after structural relaxation.

a b c (Å): 2.733 2.733 7.963
angles (deg): 90.00 90.00 90.00
Fractional coordinates of all 4 atoms:
Si 0.000 0.000 0.965
Si 0.500 0.500 0.204
Ni 0.500 0.500 0.782
As 0.000 0.000 0.548

The value obtained for the total energy is -20.62 eV for the cell shown. The value obtained for the total moment is 0.0 μB/cell. Its uncorrected formation energy is 0.165 eV/atom. The space-group type is P4mm (99).